# 1
Below is a geometry-optimized Ce4As5C structure, with properties calculated at the PBE-GGA level.

Properties
ΔH_f (0 K) = -0.8103 eV/atom
crystal system = monoclinic
calculated density = 7.203 g/cm³

POSCAR file:
```
Ce4As5C
1.0
3.9821 0.0000 0.0000
0.0000 7.6686 -1.9222
-1.9910 -3.7546 8.0912
Ce As C
4 5 1
Cartesian
0.0000 1.8012 0.4223
1.9910 -0.5504 2.5143
0.0000 4.4644 3.6547
1.9910 2.1128 5.7466
0.0000 4.9194 0.6587
1.9910 2.6983 2.4683
1.9910 -1.0054 5.5102
0.0000 1.2158 3.7007
1.9910 3.8343 -0.9611
1.9910 0.0000 0.0000
```

***

# 2
Below is a geometry-optimized Ce2AsC2 structure, with properties calculated at the PBE-GGA level.

Properties
ΔH_f (0 K) = -0.6677 eV/atom
crystal system = monoclinic
calculated density = 6.486 g/cm³

POSCAR file:
```
Ce2AsC2
1.0
-0.6286 4.1256 0.1557
-6.7499 -1.0533 0.6571
2.4688 -1.9833 6.5165
C As Ce
4 2 4
Cartesian
-5.5900 0.5356 4.3383
0.6802 0.5533 2.9909
-2.5275 -1.0714 3.2780
-2.3823 2.1603 4.0512
-1.8248 0.6381 0.1983
-5.5537 2.4342 0.6145
-0.8609 2.8130 2.0174
-3.9662 0.5165 2.2791
-0.9436 0.5724 5.0501
-4.0489 -1.7241 5.3118
```

***

# 3
Below is a geometry-optimized Ce6AsC3 structure, with properties calculated at the PBE-GGA level.

Properties
ΔH_f (0 K) = -0.3488 eV/atom
crystal system = monoclinic
calculated density = 7.586 g/cm³

POSCAR file:
```
Ce6AsC3
1.0
3.7269 0.0000 0.0000
0.0000 9.1904 -2.6248
0.0000 0.7915 11.9382
As Ce C
2 12 6
Cartesian
0.9317 9.0995 1.2443
2.7952 0.8823 8.0691
0.9317 8.0037 4.1625
0.9317 2.2687 1.7730
0.9317 4.5809 3.2476
2.7952 5.4009 6.0658
0.9317 3.3269 8.1211
2.7952 6.6549 1.1923
0.9317 6.2369 10.0262
0.9317 1.4986 10.5424
2.7952 8.4832 -1.2291
2.7952 1.9782 5.1509
2.7952 3.7449 -0.7129
2.7952 7.7132 7.5404
0.9317 4.7563 0.7073
0.9317 8.5162 9.0231
2.7952 1.4656 0.2902
2.7952 5.2256 8.6060
2.7952 6.3154 3.5810
0.9317 3.6664 5.7324
```

***

# 4
Below is a geometry-optimized Ce3As2C structure, with properties calculated at the PBE-GGA level.

Properties
ΔH_f (0 K) = -0.8702 eV/atom
crystal system = monoclinic
calculated density = 6.843 g/cm³

POSCAR file:
```
Ce3As2C
1.0
-1.5012 -1.6161 6.5560
-0.8439 -6.3326 -2.9645
6.4953 2.5663 0.9097
Ce C As
6 2 4
Cartesian
3.5022 -3.3362 -1.7442
-0.4219 -3.1663 -1.4822
2.4970 0.4751 3.7329
3.8166 -2.8529 2.0960
0.3336 -2.5294 2.4052
0.6479 -2.0462 6.2454
1.9438 -2.9014 0.3442
2.2063 -2.4810 4.1570
-0.6092 -5.9971 -1.0035
-0.2010 -5.3999 2.8862
4.7594 0.6147 5.5047
4.3512 0.0176 1.6150
```

***

# 5
Below is a geometry-optimized Ce4AsC2 structure, with properties calculated at the PBE-GGA level.

Properties
ΔH_f (0 K) = -0.4828 eV/atom
crystal system = orthorhombic
calculated density = 7.357 g/cm³

POSCAR file:
```
Ce4AsC2
1.0
3.8620 0.0000 0.0000
-1.9310 6.2706 0.0000
0.0000 0.0000 12.2908
As C Ce
2 4 8
Cartesian
0.0000 5.0938 3.0727
1.9310 1.1768 9.2181
0.0000 1.7788 5.4501
1.9310 4.4918 11.5955
0.0000 1.7788 0.6953
1.9310 4.4918 6.8406
0.0000 2.8996 7.5574
1.9310 3.3710 1.4121
0.0000 2.8996 10.8787
1.9310 3.3710 4.7333
1.9310 0.0000 0.0000
1.9310 0.0000 6.1454
1.9310 5.2862 9.2181
0.0000 0.9844 3.0727
```

***

# 6
Below is a geometry-optimized Ce2AsC structure, with properties calculated at the PBE-GGA level.

Properties
ΔH_f (0 K) = -0.6958 eV/atom
crystal system = trigonal
calculated density = 7.058 g/cm³

POSCAR file:
```
Ce2AsC
1.0
3.8827 0.0000 0.0000
1.9414 3.3625 0.0000
1.9414 1.1208 6.6165
C Ce As
1 2 1
Cartesian
0.0000 0.0000 0.0000
1.9414 1.1208 1.4013
5.8241 3.3625 5.2152
3.8827 2.2417 3.3082
```

***

# 7
Below is a geometry-optimized Ce5As2C2 structure, with properties calculated at the PBE-GGA level.

Properties
ΔH_f (0 K) = -0.5992 eV/atom
crystal system = orthorhombic
calculated density = 6.705 g/cm³

POSCAR file:
```
Ce5As2C2
1.0
7.6439 0.0000 0.0000
0.0000 6.3320 0.0000
-3.8219 -3.1660 8.9485
As Ce C
4 10 4
Cartesian
0.3953 3.0238 7.1116
3.4267 -0.1422 7.1116
3.4267 -0.1422 1.8369
0.3953 3.0238 1.8369
3.2702 2.9979 6.4313
5.7313 4.5948 0.4498
3.2702 2.9979 2.5172
0.5517 -0.1681 2.5172
5.7345 1.4288 0.4498
0.5517 -0.1681 6.4313
-1.9125 -1.7372 8.4987
4.7219 -0.3740 4.4743
-0.8999 2.7920 4.4743
-1.9094 1.4288 8.4987
0.0000 6.1916 0.0000
-0.6852 0.4047 4.4743
4.5071 3.5707 4.4743
3.8219 3.0256 0.0000
```

***

# 8
Below is a geometry-optimized Ce6As3C structure, with properties calculated at the PBE-GGA level.

Properties
ΔH_f (0 K) = -0.7820 eV/atom
crystal system = monoclinic
calculated density = 7.205 g/cm³

POSCAR file:
```
Ce6As3C
1.0
-5.4799 -0.3048 2.8143
1.7374 -7.2589 2.5969
4.3020 4.0080 8.3252
Ce As C
12 6 2
Cartesian
0.4488 -1.5928 12.2111
1.6086 -0.7057 5.0447
1.1929 -4.0924 6.8732
-0.1594 -5.9579 3.5713
0.1107 -1.9628 1.5252
0.7189 2.4022 10.1650
-1.0491 -2.8499 8.6916
-2.0853 -6.3643 6.8724
2.6449 2.8086 6.8640
2.0500 -1.0509 8.4984
-0.6333 0.5368 6.8631
-1.4904 -2.5047 5.2379
-1.1292 -0.0389 9.8460
-1.8712 -3.7818 2.7056
1.5603 -3.5889 10.1483
-1.0007 0.0333 3.5880
2.1510 2.0040 4.1626
1.6888 -3.5167 3.8903
0.0000 0.0000 0.0000
0.2798 -1.7778 6.8682
```